Record 1
Al2Tl2Tc: relaxed, PBE.

The structure in POSCAR format:
```
Al2Tl2Tc
1.0
6.883 0.000 0.000
0.000 6.883 0.000
0.000 0.000 4.337
Al Tl Tc
4 4 2
Direct
0.146 0.354 0.000
0.354 0.854 0.000
0.646 0.146 0.000
0.854 0.646 0.000
0.171 0.671 0.500
0.329 0.171 0.500
0.671 0.829 0.500
0.829 0.329 0.500
0.000 0.000 0.000
0.500 0.500 0.000
```

Distance to the lowest polymorph of the same formula = 0.000 eV per atom
Energy = -4.010 eV per atom
Symmetry = P4/mbm (127)

Record 2
Al2TlTc: relaxed, PBE.

The structure in POSCAR format:
```
Al2TlTc
1.0
4.609 -1.713 0.000
4.609 1.713 0.000
-1.570 0.000 4.392
Al Tl Tc
2 1 1
Direct
0.000 0.000 0.000
0.247 0.247 0.690
0.484 0.484 0.463
0.726 0.726 0.099
```

Energy = -4.916 eV per atom
Symmetry = Cm (8)

Record 3
AlTl2Tc: relaxed, PBE.

The structure in POSCAR format:
```
AlTl2Tc
1.0
3.764 0.000 0.000
0.000 4.203 0.000
-1.868 0.000 5.289
Al Tl Tc
1 2 1
Direct
0.000 0.000 0.000
0.407 0.500 0.811
0.715 0.000 0.430
0.131 0.500 0.261
```

Distance to the lowest polymorph of the same formula = 0.143 eV per atom
Energy = -4.305 eV per atom
Symmetry = Pm (6)

Record 4
AlTl2Tc: relaxed, PBE.

The structure in POSCAR format:
```
AlTl2Tc
1.0
1.612 0.931 9.540
-1.612 0.931 9.540
0.000 -1.862 9.540
Al Tl Tc
1 2 1
Direct
0.000 0.000 0.000
0.242 0.242 0.242
0.472 0.472 0.472
0.727 0.727 0.727
```

Distance to the lowest polymorph of the same formula = 0.075 eV per atom
Energy = -4.374 eV per atom
Symmetry = R3m (160)

Record 5
AlTl2Tc: relaxed, PBE.

The structure in POSCAR format:
```
AlTl2Tc
1.0
3.085 0.000 0.000
0.000 3.085 0.000
0.000 0.000 9.025
Al Tl Tc
1 2 1
Direct
0.000 0.000 0.000
0.500 0.500 0.275
0.500 0.500 0.725
0.000 0.000 0.500
```

Distance to the lowest polymorph of the same formula = 0.401 eV per atom
Energy = -4.048 eV per atom
Symmetry = P4/mmm (123)

Record 6
AlTl2Tc: relaxed, PBE.

The structure in POSCAR format:
```
AlTl2Tc
1.0
-2.096 2.096 4.431
2.096 -2.096 4.431
2.096 2.096 -4.431
Al Tl Tc
1 2 1
Direct
0.000 0.000 0.000
0.500 0.500 0.000
0.750 0.250 0.500
0.250 0.750 0.500
```

Distance to the lowest polymorph of the same formula = 0.317 eV per atom
Energy = -4.131 eV per atom
Symmetry = I-4m2 (119)

Record 7
AlTlTc: relaxed, PBE.

The structure in POSCAR format:
```
AlTlTc
1.0
0.000 3.144 3.144
3.144 0.000 3.144
3.144 3.144 0.000
Al Tl Tc
1 1 1
Direct
0.000 0.000 0.000
0.500 0.500 0.500
0.750 0.750 0.750
```

Distance to the lowest polymorph of the same formula = 0.360 eV per atom
Energy = -4.890 eV per atom
Symmetry = F-43m (216)

Record 8
Al4TlTc: relaxed, PBE.

The structure in POSCAR format:
```
Al4TlTc
1.0
0.000 3.693 3.693
3.693 0.000 3.693
3.693 3.693 0.000
Al Tl Tc
4 1 1
Direct
0.123 0.123 0.123
0.123 0.123 0.631
0.123 0.631 0.123
0.631 0.123 0.123
0.500 0.500 0.500
0.750 0.750 0.750
```

Energy = -4.416 eV per atom
Symmetry = F-43m (216)

Record 9
Al2TlTc: relaxed, PBE.

The structure in POSCAR format:
```
Al2TlTc
1.0
-2.060 2.060 9.199
2.060 -2.060 9.199
2.060 2.060 -9.199
Al Tl Tc
4 2 2
Direct
0.076 0.625 0.951
0.375 0.326 0.451
0.674 0.125 0.049
0.875 0.924 0.549
0.250 0.750 0.500
0.500 0.500 0.000
0.000 0.000 0.000
0.750 0.250 0.500
```

Energy = -4.562 eV per atom
Symmetry = I-42d (122)

Record 10
Al2Tl2Tc: relaxed, PBE.

The structure in POSCAR format:
```
Al2Tl2Tc
1.0
-1.938 1.938 7.494
1.938 -1.938 7.494
1.938 1.938 -7.494
Al Tl Tc
2 2 1
Direct
0.082 0.082 0.000
0.918 0.918 0.000
0.250 0.750 0.500
0.750 0.250 0.500
0.500 0.500 0.000
```

Distance to the lowest polymorph of the same formula = 0.396 eV per atom
Energy = -3.614 eV per atom
Symmetry = I4/mmm (139)

Record 11
Al2TlTc: relaxed, PBE.

The structure in POSCAR format:
```
Al2TlTc
1.0
1.536 0.887 8.995
-1.536 0.887 8.995
0.000 -1.774 8.995
Al Tl Tc
2 1 1
Direct
0.000 0.000 0.000
0.250 0.250 0.250
0.488 0.488 0.488
0.735 0.735 0.735
```

Energy = -4.762 eV per atom
Symmetry = R3m (160)

Record 12
AlTl2Tc: relaxed, PBE.

The structure in POSCAR format:
```
AlTl2Tc
1.0
4.775 0.000 0.000
0.000 4.775 0.000
0.000 0.000 3.503
Al Tl Tc
1 2 1
Direct
0.000 0.000 0.000
0.000 0.500 0.500
0.500 0.000 0.500
0.500 0.500 0.000
```

Distance to the lowest polymorph of the same formula = 0.438 eV per atom
Energy = -4.010 eV per atom
Symmetry = P4/mmm (123)